A plane-wave DFT calculation with PBE was carried out for a relaxed Cs3Y2HoTe6 crystal.

Calculated values
V in Å³ per atom: 39.97
DFT total energy in eV per atom: -4.637
Total magnetization in μB/atom: 0.000
Symmetry: No. 12

Unit cell a=7.8819 b=7.8819 c=9.2947 alpha=98.13 beta=98.13 gamma=120.00
Last column: nearest neighbours and their distance in Å.
Fractional positions:
Cs 0.1671 0.8329 0.5000  6 Te 3.81-3.82
Cs 0.8329 0.1671 0.5000  6 Te 3.81-3.82
Cs 0.5000 0.5000 0.5000  6 Te 3.81-3.82
Y 0.3334 0.6666 0.0000  6 Te 3.13
Y 0.6666 0.3334 0.0000  6 Te 3.13
Ho 0.0000 0.0000 0.0000  6 Te 3.12
Te 0.9368 0.6048 0.8104  1 Ho 3.12, 2 Y 3.13
Te 0.7313 0.7313 0.1898  1 Ho 3.12, 2 Y 3.13
Te 0.0632 0.3952 0.1896  1 Ho 3.12, 2 Y 3.13
Te 0.6048 0.9368 0.8104  1 Ho 3.12, 2 Y 3.13
Te 0.2687 0.2687 0.8102  1 Ho 3.12, 2 Y 3.13
Te 0.3952 0.0632 0.1896  1 Ho 3.12, 2 Y 3.13

***

A plane-wave DFT calculation with PBE was carried out for a relaxed NbTe2NF crystal.

Calculated values
V in Å³ per atom: 23.39
Energy above the most stable polymorph in this dataset in eV per atom: 0.000
DFT total energy in eV per atom: -5.309
Total magnetization in μB/atom: 0.000
Symmetry: No. 123

Unit cell a=5.4857 b=5.4857 c=3.8866 alpha=90.00 beta=90.00 gamma=90.00
Last column: nearest neighbours and their distance in Å.
Fractional positions:
N 0.0000 0.0000 0.5000  2 Nb 1.94
Nb 0.0000 0.0000 0.0000  2 N 1.94
Te 0.0000 0.5000 0.0000  2 Nb 2.74
Te 0.5000 0.0000 0.0000  2 Nb 2.74
F 0.5000 0.5000 0.5000  8 Te 3.36

***

A plane-wave DFT calculation with PBE was carried out for a relaxed Cs3NaI2O8 crystal.

Calculated values
V in Å³ per atom: 22.83
DFT total energy in eV per atom: -4.255
Total magnetization in μB/atom: 0.135
Symmetry: No. 164

Unit cell a=6.5668 b=6.5668 c=8.5588 alpha=90.00 beta=90.00 gamma=120.00
Last column: nearest neighbours and their distance in Å.
Fractional positions:
Cs 0.3333 0.6667 0.6667  1 O 2.92
Cs 0.6667 0.3333 0.3333  1 O 2.92
Cs 0.0000 0.0000 0.0000  12 O 3.40-3.79
Na 0.0000 0.0000 0.5000  6 O 2.59
I 0.3333 0.6667 0.2288  4 O 1.89
I 0.6667 0.3333 0.7712  4 O 1.89
O 0.3333 0.6667 0.0080  1 I 1.89
O 0.6667 0.3333 0.9920  1 I 1.89
O 0.1808 0.8192 0.3156  1 I 1.89
O 0.8192 0.1808 0.6844  1 I 1.89
O 0.1808 0.3617 0.3156  1 I 1.89
O 0.8192 0.6383 0.6844  1 I 1.89
O 0.6383 0.8192 0.3156  1 I 1.89
O 0.3617 0.1808 0.6844  1 I 1.89

***

A plane-wave DFT calculation with PBE was carried out for a relaxed CeNb2Fe9 crystal.

Calculated values
V in Å³ per atom: 13.71
DFT total energy in eV per atom: -8.605
Total magnetization in μB/atom: 1.234
Symmetry: No. 166
Formation energy in eV per atom: -0.086

Unit cell a=4.8881 b=4.8881 c=8.4381 alpha=73.16 beta=73.16 gamma=60.00
Last column: nearest neighbours and their distance in Å.
Fractional positions:
Ce 0.0000 0.0000 0.0000  6 Fe 2.82
Nb 0.8565 0.8565 0.4305  12 Fe 2.79-2.88, 3 Nb 3.03
Nb 0.1435 0.1435 0.5695  12 Fe 2.79-2.88, 3 Nb 3.03
Fe 0.6669 0.6669 0.9993  6 Fe 2.50-2.53
Fe 0.3331 0.3331 0.0007  6 Fe 2.50-2.53
Fe 0.5000 0.5000 0.5000  6 Fe 2.37
Fe 0.4111 0.4111 0.2614  7 Fe 2.37-2.53
Fe 0.9165 0.4111 0.2614  7 Fe 2.37-2.53
Fe 0.4111 0.9165 0.2614  7 Fe 2.37-2.53
Fe 0.5889 0.5889 0.7386  7 Fe 2.37-2.53
Fe 0.5889 0.0835 0.7386  7 Fe 2.37-2.53
Fe 0.0835 0.5889 0.7386  7 Fe 2.37-2.53

***

A plane-wave DFT calculation with PBE was carried out for a relaxed CoNi crystal.

Calculated values
V in Å³ per atom: 11.04
DFT total energy in eV per atom: -6.356
Total magnetization in μB/atom: 1.151
Symmetry: No. 129
Formation energy in eV per atom: 0.088

Unit cell a=2.9354 b=2.9354 c=5.1260 alpha=90.00 beta=90.00 gamma=90.00
Last column: nearest neighbours and their distance in Å.
Fractional positions:
Co 0.0000 0.0000 0.0010  4 Co 2.43, 6 Ni 2.45-2.57
Co 0.5000 0.5000 0.2490  4 Co 2.43, 6 Ni 2.45-2.57
Ni 0.0000 0.0000 0.5017  4 Ni 2.43, 6 Co 2.45-2.57
Ni 0.5000 0.5000 0.7483  4 Ni 2.43, 6 Co 2.45-2.57

***

A plane-wave DFT calculation with PBE was carried out for a relaxed NaHo3Pb12 crystal.

Calculated values
V in Å³ per atom: 29.08
DFT total energy in eV per atom: -3.950
Total magnetization in μB/atom: 0.000
Symmetry: No. 123
Formation energy in eV per atom: -0.227

Unit cell a=4.8497 b=4.8497 c=19.7804 alpha=90.00 beta=90.00 gamma=90.00
Last column: nearest neighbours and their distance in Å.
Fractional positions:
Na 0.0000 0.0000 0.0000  12 Pb 3.43-3.48
Ho 0.0000 0.0000 0.2554  12 Pb 3.40-3.53
Ho 0.0000 0.0000 0.5000  12 Pb 3.43-3.45
Ho 0.0000 0.0000 0.7446  12 Pb 3.40-3.53
Pb 0.5000 0.5000 0.0000  4 Na 3.43, 8 Pb 3.48
Pb 0.5000 0.5000 0.2502  4 Ho 3.43, 8 Pb 3.45-3.48
Pb 0.5000 0.5000 0.5000  4 Ho 3.43, 8 Pb 3.45
Pb 0.5000 0.5000 0.7498  4 Ho 3.43, 8 Pb 3.45-3.48
Pb 0.5000 0.0000 0.1260  8 Pb 3.43-3.48, 2 Na 3.48, 2 Ho 3.53
Pb 0.5000 0.0000 0.3761  4 Ho 3.40-3.45, 8 Pb 3.43-3.48
Pb 0.5000 0.0000 0.6239  4 Ho 3.40-3.45, 8 Pb 3.43-3.48
Pb 0.5000 0.0000 0.8740  8 Pb 3.43-3.48, 2 Na 3.48, 2 Ho 3.53
Pb 0.0000 0.5000 0.1260  8 Pb 3.43-3.48, 2 Na 3.48, 2 Ho 3.53
Pb 0.0000 0.5000 0.3761  4 Ho 3.40-3.45, 8 Pb 3.43-3.48
Pb 0.0000 0.5000 0.6239  4 Ho 3.40-3.45, 8 Pb 3.43-3.48
Pb 0.0000 0.5000 0.8740  8 Pb 3.43-3.48, 2 Na 3.48, 2 Ho 3.53